# Na3FeF

A relaxed structure of Na3FeF (GGA+U, Alexandria via LeMat-Bulk).

- VASP energy: -2.88 eV/atom
- Polymorph energy (0 for the lowest one): 0 meV per atom
- Total magnetization: 0.6460 μB/atom

Cell lengths 4.775, 4.775, 4.775 Å; angles 90.00, 90.00, 90.00 degrees
Sites, in units of the cell vectors:
Na: 0.000 0.500 0.000
Na: 0.000 0.000 0.500
Na: 0.500 0.000 0.000
Fe: 0.500 0.500 0.500
F: 0.000 0.000 0.000

***

# K2PuCo3O12

A relaxed structure of K2PuCo3O12 (GGA+U, Alexandria via LeMat-Bulk).

- VASP energy: -6.16 eV/atom
- Total magnetization: 0.2790 μB/atom

Cell lengths 7.165, 7.165, 7.165 Å; angles 56.73, 56.73, 56.73 degrees
Sites, in units of the cell vectors:
K: 0.613 0.613 0.613
K: 0.387 0.387 0.387
Pu: 0.000 0.000 0.000
Co: 0.500 0.000 0.000
Co: 0.000 0.500 0.000
Co: 0.000 0.000 0.500
O: 0.318 0.318 0.921
O: 0.925 0.925 0.340
O: 0.340 0.925 0.925
O: 0.921 0.318 0.318
O: 0.925 0.340 0.925
O: 0.318 0.921 0.318
O: 0.682 0.682 0.079
O: 0.075 0.075 0.660
O: 0.660 0.075 0.075
O: 0.079 0.682 0.682
O: 0.075 0.660 0.075
O: 0.682 0.079 0.682